A plane-wave DFT calculation with GGA-PBE was carried out for Na2BiAsSe4 after structural relaxation.

Lattice parameters (Å, degrees): 7.1116 4.0918 7.4677 90.00 108.44 90.00
Space group P2/m (No. 10)
One atom of each set of equivalent atoms:
Na 0.0000 0.0000 0.0000 [1 per cell]
Na 0.5000 0.5000 0.0000 [1 per cell]
Bi 0.0000 0.5000 0.5000 [1 per cell]
As 0.5000 0.0000 0.5000 [1 per cell]
Se 0.2633 0.0000 0.7321 [2 per cell]
Se 0.2777 0.5000 0.2790 [2 per cell]

Output
The calculation puts the energy relative to the elements, uncorrected at -59 kJ per mole of atoms. The value obtained for the final energy is -29.991 eV for the cell shown.



A plane-wave DFT calculation with GGA-PBE was carried out for Mn2SiP after structural relaxation.

Lattice parameters (Å, degrees): 2.8684 3.3277 10.1447 90.00 90.00 90.00
Space group Imm2 (No. 44)
One atom of each set of equivalent atoms:
Mn 0.0000 0.0000 0.0000 [2 per cell]
Mn 0.0000 0.5000 0.2472 [2 per cell]
Si 0.0000 0.0000 0.4181 [2 per cell]
P 0.0000 0.5000 0.6704 [2 per cell]

Output
The calculation puts the energy relative to the elements, uncorrected at -35 kJ per mole of atoms. The calculation puts the density of states at the Fermi level at 0.52 states/eV/atom. The value obtained for the final energy is -61.219 eV for the cell shown.



A plane-wave DFT calculation with GGA-PBE was carried out for ErTmIn2 after structural relaxation.

Lattice parameters (Å, degrees): 3.6410 3.6410 28.9891 90.00 90.00 120.00
Space group R-3m (No. 166, hexagonal axes)
One atom of each set of equivalent atoms:
Er 0.0000 0.0000 0.0000 [3 per cell]
Tm 0.0000 0.0000 0.5000 [3 per cell]
In 0.0000 0.0000 0.2497 [6 per cell]

Output
The calculation puts the density of states at the Fermi level at 0.58 states/eV/atom. Its formation energy is -0.3169 eV/atom. The value obtained for the final energy is -47.337 eV for the cell shown.



A plane-wave DFT calculation with GGA-PBE was carried out for Ac6GeP2Br3 after structural relaxation.

Lattice parameters (Å, degrees): 19.9530 4.4835 9.1950 90.00 105.19 90.00
Space group C2/m (No. 12)
One atom of each set of equivalent atoms:
Ac 0.0111 0.0000 0.2356 [4 per cell]
Ac 0.1607 0.5000 0.1093 [4 per cell]
Ac 0.1754 0.5000 0.5603 [4 per cell]
Ge 0.0000 0.5000 0.0000 [2 per cell]
P 0.1686 0.0000 0.3355 [4 per cell]
Br 0.0000 0.5000 0.5000 [2 per cell]
Br 0.1643 0.0000 0.8311 [4 per cell]

Output
The calculation puts the energy relative to the elements, uncorrected at -130 kJ per mole of atoms. The calculation puts the density of states at the Fermi level at 0.49 states/eV/atom. The value obtained for the final energy is -122.662 eV for the cell shown.